(w)
A relaxed structure of InB4Os, computed with PBE.

The size of the total moment comes out at 0.254 μB per formula unit. The volume comes out at 68 Å³/f.u. Its space group is No. 191.

Cell lengths 2.9656, 2.9656, 8.9351 Å; angles 90.00, 90.00, 120.00 degrees
Last column: magnetic moment on the atom in μB.
Positions (direct):
B (0.6667, 0.3333, 0.1924)  0.01
B (0.3333, 0.6667, 0.1924)  0.01
B (0.6667, 0.3333, 0.8076)  0.01
B (0.3333, 0.6667, 0.8076)  0.01
In (0.0000, 0.0000, 0.5000)  0.00
Os (0.0000, 0.0000, 0.0000)  0.18

---

(x)
A relaxed structure of InB4Os, computed with PBE.

The size of the total moment comes out at 0.048 μB per formula unit. The volume comes out at 59 Å³/f.u. Its space group is No. 71.

Cell lengths 4.7708, 4.7708, 4.7708 Å; angles 142.64, 112.54, 79.74 degrees
Positions (direct):
B (0.5852, 0.2503, 0.3348)
B (0.0845, 0.7497, 0.3348)
B (0.9155, 0.2503, 0.6652)
B (0.4148, 0.7497, 0.6652)
In (0.0000, 0.0000, 0.0000)
Os (0.5000, 0.5000, 0.0000)

---

Stability check: which of them is most stable? (w).

---

(w)
A relaxed structure of PaInB, computed with PBE.

The size of the total moment comes out at 0.636 μB per formula unit. The volume comes out at 69 Å³/f.u. Its space group is No. 216.

Cell lengths 4.6008, 4.6008, 4.6008 Å; angles 60.00, 60.00, 60.00 degrees
Positions (direct):
B (0.2500, 0.2500, 0.2500)
In (0.0000, 0.0000, 0.0000)
Pa (0.7500, 0.7500, 0.7500)

---

(x)
A relaxed structure of PaInB, computed with PBE.

The size of the total moment comes out at 0.032 μB per formula unit. The volume comes out at 60 Å³/f.u. Its space group is No. 216.

Cell lengths 4.3851, 4.3851, 4.3851 Å; angles 60.00, 60.00, 60.00 degrees
Positions (direct):
B (0.0000, 0.0000, 0.0000)
In (0.2500, 0.2500, 0.2500)
Pa (0.7500, 0.7500, 0.7500)

---

(y)
A relaxed structure of PaInB, computed with PBE.

The size of the total moment comes out at 0.482 μB per formula unit. The volume comes out at 76 Å³/f.u. Its space group is No. 216.

Cell lengths 4.7487, 4.7487, 4.7487 Å; angles 60.00, 60.00, 60.00 degrees
Positions (direct):
B (0.2500, 0.2500, 0.2500)
In (0.7500, 0.7500, 0.7500)
Pa (0.0000, 0.0000, 0.0000)

---

Stability check: which of them is most stable? (x).

---

(w)
A relaxed structure of PmInB, computed with PBE.

The size of the total moment comes out at 0.000 μB per formula unit. The volume comes out at 87 Å³/f.u. Its space group is No. 216.

Cell lengths 4.9813, 4.9813, 4.9813 Å; angles 60.00, 60.00, 60.00 degrees
Positions (direct):
B (0.2500, 0.2500, 0.2500)
In (0.7500, 0.7500, 0.7500)
Pm (0.0000, 0.0000, 0.0000)

---

(x)
A relaxed structure of PmInB, computed with PBE.

The size of the total moment comes out at 0.004 μB per formula unit. The volume comes out at 61 Å³/f.u. Its space group is No. 216.

Cell lengths 4.4279, 4.4279, 4.4279 Å; angles 60.00, 60.00, 60.00 degrees
Positions (direct):
B (0.0000, 0.0000, 0.0000)
In (0.2500, 0.2500, 0.2500)
Pm (0.7500, 0.7500, 0.7500)

---

Stability check: which of them is most stable? (x).

---

(w)
A relaxed structure of PmInB4, computed with PBE.

The size of the total moment comes out at 0.012 μB per formula unit. The volume comes out at 72 Å³/f.u. Its space group is No. 191.

Cell lengths 3.2314, 3.2314, 7.9507 Å; angles 90.00, 90.00, 120.00 degrees
Positions (direct):
B (0.6667, 0.3333, 0.2607)
B (0.3333, 0.6667, 0.2607)
B (0.6667, 0.3333, 0.7393)
B (0.3333, 0.6667, 0.7393)
In (0.0000, 0.0000, 0.5000)
Pm (0.0000, 0.0000, 0.0000)

---

(x)
A relaxed structure of PmInB4, computed with PBE.

The size of the total moment comes out at 0.002 μB per formula unit. The volume comes out at 74 Å³/f.u. Its space group is No. 71.

Cell lengths 5.2734, 5.2734, 5.2734 Å; angles 144.10, 118.68, 73.15 degrees
Positions (direct):
B (0.5664, 0.2403, 0.3261)
B (0.0858, 0.7597, 0.3261)
B (0.9142, 0.2403, 0.6739)
B (0.4336, 0.7597, 0.6739)
In (0.0000, 0.0000, 0.0000)
Pm (0.5000, 0.5000, 0.0000)

---

Stability check: which of them is most stable? (x).

---

(w)
A relaxed structure of PrInB, computed with PBE.

The size of the total moment comes out at 0.001 μB per formula unit. The volume comes out at 65 Å³/f.u. Its space group is No. 216.

Cell lengths 4.5058, 4.5058, 4.5058 Å; angles 60.00, 60.00, 60.00 degrees
Positions (direct):
B (0.0000, 0.0000, 0.0000)
In (0.2500, 0.2500, 0.2500)
Pr (0.7500, 0.7500, 0.7500)

---

(x)
A relaxed structure of PrInB, computed with PBE.

The size of the total moment comes out at 0.005 μB per formula unit. The volume comes out at 79 Å³/f.u. Its space group is No. 216.

Cell lengths 4.8134, 4.8134, 4.8134 Å; angles 60.00, 60.00, 60.00 degrees
Positions (direct):
B (0.2500, 0.2500, 0.2500)
In (0.7500, 0.7500, 0.7500)
Pr (0.0000, 0.0000, 0.0000)

---

(y)
A relaxed structure of PrInB, computed with PBE.

The size of the total moment comes out at 0.002 μB per formula unit. The volume comes out at 78 Å³/f.u. Its space group is No. 216.

Cell lengths 4.7929, 4.7929, 4.7929 Å; angles 60.00, 60.00, 60.00 degrees
Positions (direct):
B (0.2500, 0.2500, 0.2500)
In (0.0000, 0.0000, 0.0000)
Pr (0.7500, 0.7500, 0.7500)

---

Stability check: which of them is most stable? (w).

---

(w)
A relaxed structure of TaInB, computed with PBE.

The size of the total moment comes out at 0.001 μB per formula unit. The volume comes out at 57 Å³/f.u. Its space group is No. 216.

Cell lengths 4.3225, 4.3225, 4.3225 Å; angles 60.00, 60.00, 60.00 degrees
Positions (direct):
B (0.2500, 0.2500, 0.2500)
In (0.7500, 0.7500, 0.7500)
Ta (0.0000, 0.0000, 0.0000)

---

(x)
A relaxed structure of TaInB, computed with PBE.

The size of the total moment comes out at 0.853 μB per formula unit. The volume comes out at 48 Å³/f.u. Its space group is No. 216.

Cell lengths 4.0866, 4.0866, 4.0866 Å; angles 60.00, 60.00, 60.00 degrees
Positions (direct):
B (0.0000, 0.0000, 0.0000)
In (0.2500, 0.2500, 0.2500)
Ta (0.7500, 0.7500, 0.7500)

---

Stability check: which of them is most stable? (x).

---

(w)
A relaxed structure of InTcB4, computed with PBE.

The size of the total moment comes out at 0.006 μB per formula unit. The volume comes out at 59 Å³/f.u. Its space group is No. 71.

Cell lengths 4.7503, 4.7503, 4.7503 Å; angles 142.40, 113.05, 79.40 degrees
Positions (direct):
B (0.5841, 0.2481, 0.3360)
B (0.0879, 0.7519, 0.3360)
B (0.9121, 0.2481, 0.6640)
B (0.4159, 0.7519, 0.6640)
In (0.0000, 0.0000, 0.0000)
Tc (0.5000, 0.5000, 0.0000)

---

(x)
A relaxed structure of InTcB4, computed with PBE.

The size of the total moment comes out at 0.005 μB per formula unit. The volume comes out at 68 Å³/f.u. Its space group is No. 191.

Cell lengths 2.9656, 2.9656, 8.9230 Å; angles 90.00, 90.00, 120.00 degrees
Positions (direct):
B (0.6667, 0.3333, 0.3110)
B (0.3333, 0.6667, 0.3110)
B (0.6667, 0.3333, 0.6890)
B (0.3333, 0.6667, 0.6890)
In (0.0000, 0.0000, 0.0000)
Tc (0.0000, 0.0000, 0.5000)

---

Stability check: which of them is most stable? (x).

---

(w)
A relaxed structure of ThInB4, computed with PBE.

The size of the total moment comes out at 0.004 μB per formula unit. The volume comes out at 77 Å³/f.u. Its space group is No. 71.

Cell lengths 5.3829, 5.3829, 5.3829 Å; angles 144.81, 118.99, 72.43 degrees
Positions (direct):
B (0.5631, 0.2401, 0.3230)
B (0.0829, 0.7599, 0.3230)
B (0.9171, 0.2401, 0.6770)
B (0.4370, 0.7599, 0.6770)
In (0.0000, 0.0000, 0.0000)
Th (0.5000, 0.5000, 0.0000)

---

(x)
A relaxed structure of ThInB4, computed with PBE.

The size of the total moment comes out at 0.001 μB per formula unit. The volume comes out at 74 Å³/f.u. Its space group is No. 191.

Cell lengths 3.2419, 3.2419, 8.0942 Å; angles 90.00, 90.00, 120.00 degrees
Positions (direct):
B (0.6667, 0.3333, 0.2615)
B (0.3333, 0.6667, 0.2615)
B (0.6667, 0.3333, 0.7385)
B (0.3333, 0.6667, 0.7385)
In (0.0000, 0.0000, 0.5000)
Th (0.0000, 0.0000, 0.0000)

---

Stability check: which of them is most stable? (w).

---

(w)
A relaxed structure of ThInB, computed with PBE.

The size of the total moment comes out at 0.001 μB per formula unit. The volume comes out at 68 Å³/f.u. Its space group is No. 216.

Cell lengths 4.5777, 4.5777, 4.5777 Å; angles 60.00, 60.00, 60.00 degrees
Positions (direct):
B (0.0000, 0.0000, 0.0000)
In (0.2500, 0.2500, 0.2500)
Th (0.7500, 0.7500, 0.7500)

---

(x)
A relaxed structure of ThInB, computed with PBE.

The size of the total moment comes out at 0.002 μB per formula unit. The volume comes out at 75 Å³/f.u. Its space group is No. 216.

Cell lengths 4.7294, 4.7294, 4.7294 Å; angles 60.00, 60.00, 60.00 degrees
Positions (direct):
B (0.2500, 0.2500, 0.2500)
In (0.0000, 0.0000, 0.0000)
Th (0.7500, 0.7500, 0.7500)

---

Stability check: which of them is most stable? (w).

---

(w)
A relaxed structure of TmInB4, computed with PBE.

The size of the total moment comes out at 0.003 μB per formula unit. The volume comes out at 68 Å³/f.u. Its space group is No. 191.

Cell lengths 3.2180, 3.2180, 7.6157 Å; angles 90.00, 90.00, 120.00 degrees
Positions (direct):
B (0.6667, 0.3333, 0.2454)
B (0.3333, 0.6667, 0.2454)
B (0.6667, 0.3333, 0.7546)
B (0.3333, 0.6667, 0.7546)
In (0.0000, 0.0000, 0.5000)
Tm (0.0000, 0.0000, 0.0000)

---

(x)
A relaxed structure of TmInB4, computed with PBE.

The size of the total moment comes out at 0.001 μB per formula unit. The volume comes out at 69 Å³/f.u. Its space group is No. 71.

Cell lengths 5.0864, 5.0864, 5.0864 Å; angles 143.25, 117.05, 75.17 degrees
Positions (direct):
B (0.5660, 0.2386, 0.3274)
B (0.0889, 0.7614, 0.3274)
B (0.9111, 0.2386, 0.6726)
B (0.4340, 0.7614, 0.6726)
In (0.0000, 0.0000, 0.0000)
Tm (0.5000, 0.5000, 0.0000)

---

Stability check: which of them is most stable? (x).

---

(w)
A relaxed structure of TmInB, computed with PBE.

The size of the total moment comes out at 0.004 μB per formula unit. The volume comes out at 68 Å³/f.u. Its space group is No. 216.

Cell lengths 4.5803, 4.5803, 4.5803 Å; angles 60.00, 60.00, 60.00 degrees
Positions (direct):
B (0.2500, 0.2500, 0.2500)
In (0.7500, 0.7500, 0.7500)
Tm (0.0000, 0.0000, 0.0000)

---

(x)
A relaxed structure of TmInB, computed with PBE.

The size of the total moment comes out at 0.001 μB per formula unit. The volume comes out at 55 Å³/f.u. Its space group is No. 216.

Cell lengths 4.2805, 4.2805, 4.2805 Å; angles 60.00, 60.00, 60.00 degrees
Positions (direct):
B (0.0000, 0.0000, 0.0000)
In (0.2500, 0.2500, 0.2500)
Tm (0.7500, 0.7500, 0.7500)

---

Stability check: which of them is most stable? (x).

---

(w)
A relaxed structure of UInB, computed with PBE.

The size of the total moment comes out at 3.329 μB per formula unit. The volume comes out at 72 Å³/f.u. Its space group is No. 216.

Cell lengths 4.6697, 4.6697, 4.6697 Å; angles 60.04, 60.04, 60.04 degrees
Positions (direct):
B (0.2499, 0.2499, 0.2499)
In (0.0000, 0.0000, 0.0000)
U (0.7500, 0.7500, 0.7500)

---

(x)
A relaxed structure of UInB, computed with PBE.

The size of the total moment comes out at 2.172 μB per formula unit. The volume comes out at 69 Å³/f.u. Its space group is No. 216.

Cell lengths 4.6023, 4.6023, 4.6023 Å; angles 60.00, 60.00, 60.00 degrees
Positions (direct):
B (0.2500, 0.2500, 0.2500)
In (0.7500, 0.7500, 0.7500)
U (0.0000, 0.0000, 0.0000)

---

Stability check: which of them is most stable? (x).